A PBEsol-optimized structure of K2In, computed with meta-GGA SCAN.

Values from the calculation:
For the formation energy, the calculation gives -94 meV per atom. The space group is C2/c. As for the calculated density: 2.43 g/cm³. The total energy is -16.775 eV per atom. For the density of states at the Fermi level, the calculation gives 1.48 states/eV/f.u.

a = 6.0938 Å, b = 7.2432 Å, c = 7.2432 Å
α = 79.82°, β = 65.18°, γ = 65.18°
Element x y z (fractional)
1 K 0.3332 0.8334 0.5000
2 In 0.7500 0.0000 0.0000
3 K 0.6668 0.1666 0.5000
4 K 0.1668 0.5000 0.1666
5 K 0.8332 0.5000 0.8334
6 In 0.2500 0.0000 0.0000

---

A PBEsol-optimized structure of KIn, computed with meta-GGA SCAN.

Values from the calculation:
For the formation energy, the calculation gives -139 meV per atom. The space group is P2_1/m. As for the calculated density: 3.54 g/cm³. The total energy is -20.996 eV per atom. For the density of states at the Fermi level, the calculation gives 0.99 states/eV/f.u.

a = 3.9617 Å, b = 5.1682 Å, c = 7.3212 Å
α = 90.00°, β = 105.63°, γ = 90.00°
Element x y z (fractional)
1 In 0.0498 0.7500 0.5988
2 K 0.6630 0.2500 0.8285
3 K 0.3370 0.7500 0.1715
4 In 0.9502 0.2500 0.4012

---

A PBEsol-optimized structure of KIn4, computed with meta-GGA SCAN.

Values from the calculation:
For the formation energy, the calculation gives -257 meV per atom. The space group is I4/mmm. As for the calculated density: 5.73 g/cm³. The total energy is -28.632 eV per atom. For the density of states at the Fermi level, the calculation gives 1.47 states/eV/f.u.

a = 4.7824 Å, b = 4.7824 Å, c = 7.1600 Å
α = 109.51°, β = 109.51°, γ = 90.00°
Element x y z (fractional)
1 In 0.6118 0.6118 0.2235
2 In 0.7500 0.2500 0.5000
3 In 0.3882 0.3882 0.7765
4 In 0.2500 0.7500 0.5000
5 K 0.0000 0.0000 0.0000

---

A PBEsol-optimized structure of K2In, computed with meta-GGA SCAN.

Values from the calculation:
For the formation energy, the calculation gives -114 meV per atom. The space group is Cmcm. As for the calculated density: 2.35 g/cm³. The total energy is -16.795 eV per atom. For the density of states at the Fermi level, the calculation gives 1.69 states/eV/f.u.

a = 4.9216 Å, b = 6.2616 Å, c = 9.3909 Å
α = 109.47°, β = 90.00°, γ = 90.00°
Element x y z (fractional)
1 K 0.7500 0.4215 0.8430
2 In 0.7500 0.0402 0.0804
3 In 0.2500 0.9598 0.9196
4 K 0.2500 0.1959 0.3919
5 K 0.2500 0.5785 0.1570
6 K 0.7500 0.8041 0.6081

---

A PBEsol-optimized structure of KIn2, computed with meta-GGA SCAN.

Values from the calculation:
For the formation energy, the calculation gives -153 meV per atom. The space group is C2/m. As for the calculated density: 4.77 g/cm³. The total energy is -25.187 eV per atom. For the density of states at the Fermi level, the calculation gives 1.28 states/eV/f.u.

a = 3.7114 Å, b = 6.6762 Å, c = 8.4536 Å
α = 110.58°, β = 90.00°, γ = 106.14°
Element x y z (fractional)
1 K 0.8488 0.6976 0.8928
2 In 0.4669 0.9338 0.2961
3 In 0.5331 0.0662 0.7039
4 In 0.8431 0.6863 0.4688
5 K 0.1512 0.3024 0.1072
6 In 0.1569 0.3137 0.5312

---

A PBEsol-optimized structure of KIn, computed with meta-GGA SCAN.

Values from the calculation:
For the formation energy, the calculation gives -151 meV per atom. The space group is C2/m. As for the calculated density: 3.56 g/cm³. The total energy is -21.008 eV per atom. For the density of states at the Fermi level, the calculation gives 1.19 states/eV/f.u.

a = 3.8333 Å, b = 6.1393 Å, c = 7.0482 Å
α = 114.72°, β = 105.78°, γ = 90.00°
Element x y z (fractional)
1 K 0.4018 0.1549 0.8035
2 K 0.5982 0.8451 0.1965
3 In 0.8408 0.5969 0.6817
4 In 0.1592 0.4031 0.3183

---

A PBEsol-optimized structure of KIn2, computed with meta-GGA SCAN.

Values from the calculation:
For the formation energy, the calculation gives -215 meV per atom. The space group is P6/mmm. As for the calculated density: 5.10 g/cm³. The total energy is -25.249 eV per atom. For the density of states at the Fermi level, the calculation gives 1.02 states/eV/f.u.

a = 3.7577 Å, b = 5.1864 Å, c = 5.1864 Å
α = 120.00°, β = 90.00°, γ = 90.00°
Element x y z (fractional)
1 In 0.5000 0.3333 0.6667
2 K 0.0000 0.0000 0.0000
3 In 0.5000 0.6667 0.3333

---

A PBEsol-optimized structure of K2In, computed with meta-GGA SCAN.

Values from the calculation:
For the formation energy, the calculation gives -103 meV per atom. The space group is C2/m. As for the calculated density: 2.28 g/cm³. The total energy is -16.785 eV per atom. For the density of states at the Fermi level, the calculation gives 2.38 states/eV/f.u.

a = 4.3180 Å, b = 7.1497 Å, c = 10.1653 Å
α = 109.04°, β = 90.00°, γ = 107.58°
Element x y z (fractional)
1 K 0.6745 0.3489 0.6446
2 K 0.3255 0.6511 0.3554
3 In 0.6993 0.3985 0.0509
4 K 0.9807 0.9613 0.8176
5 In 0.3007 0.6015 0.9491
6 K 0.0193 0.0387 0.1824

---

A PBEsol-optimized structure of KIn3, computed with meta-GGA SCAN.

Values from the calculation:
For the formation energy, the calculation gives -26 meV per atom. The space group is P-6m2. As for the calculated density: 5.41 g/cm³. The total energy is -27.148 eV per atom. For the density of states at the Fermi level, the calculation gives 1.19 states/eV/f.u.

a = 3.6373 Å, b = 3.6373 Å, c = 10.2734 Å
α = 90.00°, β = 90.00°, γ = 120.00°
Element x y z (fractional)
1 In 0.0000 0.0000 0.2187
2 K 0.3333 0.6667 0.5000
3 In 0.3333 0.6667 0.0000
4 In 0.0000 0.0000 0.7813

---

A PBEsol-optimized structure of K5In, computed with meta-GGA SCAN.

Values from the calculation:
For the formation energy, the calculation gives 263 meV per atom. The space group is P6/mmm. As for the calculated density: 1.40 g/cm³. The total energy is -12.242 eV per atom. For the density of states at the Fermi level, the calculation gives 5.83 states/eV/f.u.

a = 7.3622 Å, b = 7.5970 Å, c = 7.5970 Å
α = 120.00°, β = 90.00°, γ = 90.00°
Element x y z (fractional)
1 K 0.5000 0.0000 0.5000
2 K 0.0000 0.6667 0.3333
3 In 0.0000 0.0000 0.0000
4 K 0.5000 0.5000 0.5000
5 K 0.0000 0.3333 0.6667
6 K 0.5000 0.5000 0.0000

---

A PBEsol-optimized structure of K5In, computed with meta-GGA SCAN.

Values from the calculation:
For the formation energy, the calculation gives -1 meV per atom. The space group is Cm. As for the calculated density: 1.55 g/cm³. The total energy is -12.507 eV per atom. For the density of states at the Fermi level, the calculation gives 4.68 states/eV/f.u.

a = 4.6051 Å, b = 7.9247 Å, c = 10.2150 Å
α = 110.09°, β = 90.00°, γ = 106.89°
Element x y z (fractional)
1 In 0.9728 0.9457 0.9477
2 K 0.9730 0.9460 0.4412
3 K 0.6080 0.2160 0.8131
4 K 0.3336 0.6672 0.0742
5 K 0.6305 0.2611 0.2266
6 K 0.3154 0.6308 0.6639

---

A PBEsol-optimized structure of KIn2, computed with meta-GGA SCAN.

Values from the calculation:
For the formation energy, the calculation gives 3 meV per atom. The space group is P-3m1. As for the calculated density: 4.91 g/cm³. The total energy is -25.031 eV per atom. For the density of states at the Fermi level, the calculation gives 1.86 states/eV/f.u.

a = 3.5532 Å, b = 3.5532 Å, c = 8.3126 Å
α = 90.00°, β = 90.00°, γ = 120.00°
Element x y z (fractional)
1 In 0.3333 0.6667 0.6460
2 K 0.0000 0.0000 0.0000
3 In 0.6667 0.3333 0.3540

---

Which of these has the highest calculated density? KIn4

---

Which of these has the lowest calculated density? number 10

---

Which formula does entry 5 have? KIn2